# K2CdPdN PBE-GGA relaxed
# Fermi-level density of states = 2.919 states/eV/cell
# Total moment = 0.0 μB per formula unit
# Formation energy from raw total energies = 63 kJ/mol of atoms
data_K2CdPdN
_cell_length_a 6.440
_cell_length_b 6.440
_cell_length_c 3.880
_cell_angle_alpha 90.00
_cell_angle_beta 90.00
_cell_angle_gamma 90.00
_symmetry_space_group_name_H-M 'P 4/m m m'
_symmetry_Int_Tables_number 123
_symmetry_space_group_name_Hall '-P 4 2'
loop_
_atom_site_label
_atom_site_type_symbol
_atom_site_fract_x
_atom_site_fract_y
_atom_site_fract_z
K1 K 0.000 0.500 0.000
Cd1 Cd 0.000 0.000 0.000
Pd1 Pd 0.500 0.500 0.500
N1 N 0.000 0.000 0.500